1.
Below is an optimized crystal structure of HoGeSb, with properties calculated at the PBE level.

## Properties
Energy relative to the elements, uncorrected = -98 kJ/mol of formula units
SG = P-6m2

Cell lengths 4.811, 4.811, 3.764 Å; angles 90.00, 90.00, 120.00 degrees
Atoms (fractional coordinates):
Ho 0.000 0.000 0.000
Ge 0.667 0.333 0.500
Sb 0.333 0.667 0.500

---

2.
Below is an optimized crystal structure of Ho4GeSb, with properties calculated at the PBE level.

## Properties
Energy relative to the elements, uncorrected = -237 kJ/mol of formula units
SG = P2_1/m

Cell lengths 5.817, 8.779, 7.491 Å; angles 90.00, 104.91, 90.00 degrees
Atoms (fractional coordinates):
Ho 0.020 0.048 0.239
Ho 0.020 0.452 0.239
Ho 0.410 0.750 0.487
Ho 0.436 0.250 0.993
Ho 0.564 0.750 0.007
Ho 0.590 0.250 0.513
Ho 0.980 0.548 0.761
Ho 0.980 0.952 0.761
Ge 0.096 0.750 0.072
Ge 0.904 0.250 0.928
Sb 0.117 0.250 0.585
Sb 0.883 0.750 0.415

---

3.
Below is an optimized crystal structure of Ho4GeSb2, with properties calculated at the PBE level.

## Properties
Energy relative to the elements, uncorrected = -466 kJ/mol of formula units
SG = P2_1/m

Cell lengths 6.571, 6.492, 9.510 Å; angles 90.00, 107.39, 90.00 degrees
Atoms (fractional coordinates):
Ho 0.012 0.002 0.260
Ho 0.012 0.498 0.260
Ho 0.374 0.750 0.046
Ho 0.446 0.750 0.650
Ho 0.554 0.250 0.350
Ho 0.626 0.250 0.954
Ho 0.988 0.502 0.740
Ho 0.988 0.998 0.740
Ge 0.372 0.750 0.340
Ge 0.628 0.250 0.660
Sb 0.198 0.250 0.036
Sb 0.199 0.250 0.547
Sb 0.801 0.750 0.453
Sb 0.802 0.750 0.964

---

4.
Below is an optimized crystal structure of HoGeSb, with properties calculated at the PBE level.

## Properties
Energy relative to the elements, uncorrected = -200 kJ/mol of formula units
SG = Cmcm

Cell lengths 8.388, 8.388, 4.088 Å; angles 90.00, 90.00, 150.02 degrees
Atoms (fractional coordinates):
Ho 0.098 0.902 0.750
Ho 0.902 0.098 0.250
Ge 0.448 0.552 0.750
Ge 0.552 0.448 0.250
Sb 0.252 0.748 0.250
Sb 0.748 0.252 0.750

---

5.
Below is an optimized crystal structure of Ho3GeSb, with properties calculated at the PBE level.

## Properties
Energy relative to the elements, uncorrected = -304 kJ/mol of formula units
SG = P-1

Cell lengths 7.264, 7.268, 7.947 Å; angles 90.04, 117.19, 119.95 degrees
Atoms (fractional coordinates):
Ho 0.069 0.479 0.263
Ho 0.284 0.090 0.263
Ho 0.328 0.307 0.737
Ho 0.672 0.693 0.263
Ho 0.716 0.910 0.737
Ho 0.931 0.521 0.737
Ge 0.166 0.333 0.999
Ge 0.834 0.667 0.001
Sb 0.223 0.861 0.584
Sb 0.777 0.139 0.416

---

6.
Below is an optimized crystal structure of Ho8GeSb2, with properties calculated at the PBE level.

## Properties
Energy relative to the elements, uncorrected = -535 kJ/mol of formula units
SG = C2/m

Cell lengths 9.284, 9.284, 8.397 Å; angles 93.83, 93.83, 26.27 degrees
Atoms (fractional coordinates):
Ho 0.011 0.011 0.229
Ho 0.208 0.208 0.363
Ho 0.342 0.342 0.973
Ho 0.407 0.407 0.458
Ho 0.593 0.593 0.542
Ho 0.658 0.658 0.027
Ho 0.792 0.792 0.637
Ho 0.989 0.989 0.771
Ge 0.500 0.500 0.000
Sb 0.179 0.179 0.763
Sb 0.821 0.821 0.237

---

7.
Below is an optimized crystal structure of Ho8Ge5Sb, with properties calculated at the PBE level.

## Properties
Energy relative to the elements, uncorrected = -1178 kJ/mol of formula units
SG = I-4

Cell lengths 7.674, 7.674, 7.674 Å; angles 109.20, 109.20, 110.01 degrees
Atoms (fractional coordinates):
Ho 0.126 0.247 0.748
Ho 0.131 0.734 0.743
Ho 0.266 0.009 0.397
Ho 0.500 0.379 0.252
Ho 0.612 0.869 0.603
Ho 0.621 0.874 0.121
Ho 0.753 0.500 0.879
Ho 0.991 0.388 0.257
Ge 0.245 0.624 0.122
Ge 0.376 0.498 0.621
Ge 0.502 0.123 0.878
Ge 0.750 0.250 0.500
Ge 0.877 0.755 0.379
Sb 0.000 0.000 0.000

---

8.
Below is an optimized crystal structure of Ho5GeSb2, with properties calculated at the PBE level.

## Properties
Energy relative to the elements, uncorrected = -373 kJ/mol of formula units
SG = Cmcm

Cell lengths 6.885, 6.885, 13.871 Å; angles 90.00, 90.00, 128.80 degrees
Atoms (fractional coordinates):
Ho 0.060 0.940 0.618
Ho 0.060 0.940 0.882
Ho 0.316 0.684 0.250
Ho 0.367 0.633 0.580
Ho 0.367 0.633 0.920
Ho 0.633 0.367 0.080
Ho 0.633 0.367 0.420
Ho 0.684 0.316 0.750
Ho 0.940 0.060 0.118
Ho 0.940 0.060 0.382
Ge 0.230 0.770 0.750
Ge 0.770 0.230 0.250
Sb 0.179 0.821 0.072
Sb 0.179 0.821 0.428
Sb 0.821 0.179 0.572
Sb 0.821 0.179 0.928

---

9.
Below is an optimized crystal structure of Ho4GeSb2Se, with properties calculated at the PBE level.

## Properties
Energy relative to the elements, uncorrected = -946 kJ/mol of formula units
SG = P2/m

Cell lengths 7.329, 4.226, 7.373 Å; angles 90.00, 109.23, 90.00 degrees
Atoms (fractional coordinates):
Ho 0.240 0.000 0.234
Ho 0.246 0.500 0.763
Ho 0.754 0.500 0.237
Ho 0.760 0.000 0.766
Ge 0.000 0.500 0.000
Sb 0.000 0.000 0.500
Sb 0.500 0.500 0.500
Se 0.500 0.000 0.000

---

10.
Below is an optimized crystal structure of Ho6Ge3SbSe2, with properties calculated at the PBE level.

## Properties
Energy relative to the elements, uncorrected = -1399 kJ/mol of formula units
SG = C2/m

Cell lengths 9.340, 9.340, 8.389 Å; angles 103.95, 103.95, 25.53 degrees
Atoms (fractional coordinates):
Ho 0.000 0.000 0.237
Ho 0.000 0.000 0.763
Ho 0.328 0.328 0.420
Ho 0.335 0.335 0.910
Ho 0.665 0.665 0.090
Ho 0.672 0.672 0.580
Ge 0.166 0.166 0.332
Ge 0.500 0.500 0.000
Ge 0.834 0.834 0.668
Sb 0.500 0.500 0.500
Se 0.168 0.168 0.836
Se 0.832 0.832 0.164

---

11.
Below is an optimized crystal structure of Ho6Ge2SbSe3, with properties calculated at the PBE level.

## Properties
Energy relative to the elements, uncorrected = -1626 kJ/mol of formula units
SG = C2/m

Cell lengths 9.274, 9.274, 8.323 Å; angles 102.53, 102.53, 25.89 degrees
Atoms (fractional coordinates):
Ho 0.006 0.006 0.260
Ho 0.329 0.329 0.424
Ho 0.329 0.329 0.900
Ho 0.671 0.671 0.100
Ho 0.671 0.671 0.576
Ho 0.994 0.994 0.740
Ge 0.167 0.167 0.335
Ge 0.833 0.833 0.665
Sb 0.500 0.500 0.000
Se 0.164 0.164 0.834
Se 0.500 0.500 0.500
Se 0.836 0.836 0.166

---

12.
Below is an optimized crystal structure of Ho6GeSb2Se3, with properties calculated at the PBE level.

## Properties
Energy relative to the elements, uncorrected = -1641 kJ/mol of formula units
SG = C2/m

Cell lengths 9.359, 9.359, 8.371 Å; angles 102.31, 102.31, 25.89 degrees
Atoms (fractional coordinates):
Ho 0.002 0.002 0.266
Ho 0.338 0.338 0.910
Ho 0.340 0.340 0.427
Ho 0.660 0.660 0.573
Ho 0.662 0.662 0.090
Ho 0.998 0.998 0.734
Ge 0.500 0.500 0.500
Sb 0.168 0.168 0.835
Sb 0.832 0.832 0.165
Se 0.169 0.169 0.335
Se 0.500 0.500 0.000
Se 0.831 0.831 0.665

---

13.
Below is an optimized crystal structure of Ho8GeSb3Te4, with properties calculated at the PBE level.

## Properties
Energy relative to the elements, uncorrected = -1891 kJ/mol of formula units
SG = R-3m

Cell lengths 8.686, 8.686, 8.686 Å; angles 59.83, 59.83, 59.83 degrees
Atoms (fractional coordinates):
Ho 0.246 0.246 0.246
Ho 0.258 0.736 0.736
Ho 0.264 0.264 0.742
Ho 0.264 0.742 0.264
Ho 0.736 0.258 0.736
Ho 0.736 0.736 0.258
Ho 0.742 0.264 0.264
Ho 0.754 0.754 0.754
Ge 0.500 0.500 0.500
Sb 0.000 0.000 0.500
Sb 0.000 0.500 0.000
Sb 0.500 0.000 0.000
Te 0.000 0.000 0.000
Te 0.000 0.500 0.500
Te 0.500 0.000 0.500
Te 0.500 0.500 0.000

---

14.
Below is an optimized crystal structure of Ho6Ge2SbTe3, with properties calculated at the PBE level.

## Properties
Energy relative to the elements, uncorrected = -1401 kJ/mol of formula units
SG = C2/m

Cell lengths 9.614, 9.614, 8.643 Å; angles 103.41, 103.41, 25.66 degrees
Atoms (fractional coordinates):
Ho 0.011 0.011 0.251
Ho 0.326 0.326 0.433
Ho 0.332 0.332 0.890
Ho 0.668 0.668 0.110
Ho 0.674 0.674 0.567
Ho 0.989 0.989 0.749
Ge 0.168 0.168 0.335
Ge 0.832 0.832 0.665
Sb 0.500 0.500 0.000
Te 0.163 0.163 0.834
Te 0.500 0.500 0.500
Te 0.837 0.837 0.166

---

15.
Below is an optimized crystal structure of Ho4GeSbTe2, with properties calculated at the PBE level.

## Properties
Energy relative to the elements, uncorrected = -941 kJ/mol of formula units
SG = P2/m

Cell lengths 7.467, 4.290, 7.492 Å; angles 90.00, 109.24, 90.00 degrees
Atoms (fractional coordinates):
Ho 0.229 0.000 0.224
Ho 0.242 0.500 0.770
Ho 0.758 0.500 0.230
Ho 0.771 0.000 0.776
Ge 0.000 0.500 0.000
Sb 0.500 0.000 0.000
Te 0.000 0.000 0.500
Te 0.500 0.500 0.500

---

16.
Below is an optimized crystal structure of Ho2ScGe2, with properties calculated at the PBE level.

## Properties
Formation energy from the elements = -0.754 eV per atom
SG = C2/m

Cell lengths 6.276, 6.276, 10.324 Å; angles 115.57, 115.57, 39.83 degrees
Atoms (fractional coordinates):
Ho 0.016 0.016 0.185
Ho 0.182 0.182 0.593
Ho 0.818 0.818 0.407
Ho 0.984 0.984 0.815
Sc 0.278 0.278 0.133
Sc 0.722 0.722 0.867
Ge 0.375 0.375 0.934
Ge 0.482 0.482 0.614
Ge 0.518 0.518 0.386
Ge 0.625 0.625 0.066

---

17.
Below is an optimized crystal structure of Ho2ScGe2, with properties calculated at the PBE level.

## Properties
Formation energy from the elements = -0.761 eV per atom
SG = Immm

Cell lengths 5.785, 5.785, 5.785 Å; angles 137.09, 116.17, 80.01 degrees
Atoms (fractional coordinates):
Ho 0.200 0.200 0.000
Ho 0.800 0.800 0.000
Sc 0.500 0.000 0.500
Ge 0.217 0.500 0.717
Ge 0.783 0.500 0.283

---

18.
Below is an optimized crystal structure of Ho3Ge5Se12, with properties calculated at the PBE level.

## Properties
Energy relative to the elements, uncorrected = -1491 kJ/mol of formula units
SG = Ia-3d

Cell lengths 13.924, 13.924, 13.924 Å; angles 109.47, 109.47, 109.47 degrees
Atoms (fractional coordinates):
Ho 0.125 0.250 0.375
Ho 0.125 0.375 0.750
Ho 0.250 0.375 0.125
Ho 0.250 0.875 0.625
Ho 0.375 0.125 0.250
Ho 0.375 0.750 0.125
Ho 0.625 0.250 0.875
Ho 0.625 0.875 0.750
Ho 0.750 0.125 0.375
Ho 0.750 0.625 0.875
Ho 0.875 0.625 0.250
Ho 0.875 0.750 0.625
Ge 0.000 0.000 0.000
Ge 0.000 0.000 0.500
Ge 0.000 0.500 0.000
Ge 0.000 0.500 0.500
Ge 0.125 0.750 0.875
Ge 0.125 0.875 0.250
Ge 0.250 0.125 0.875
Ge 0.250 0.625 0.375
Ge 0.375 0.250 0.625
Ge 0.375 0.625 0.750
Ge 0.500 0.000 0.000
Ge 0.500 0.000 0.500
Ge 0.500 0.500 0.000
Ge 0.500 0.500 0.500
Ge 0.625 0.375 0.250
Ge 0.625 0.750 0.375
Ge 0.750 0.375 0.625
Ge 0.750 0.875 0.125
Ge 0.875 0.125 0.750
Ge 0.875 0.250 0.125
Se 0.040 0.218 0.132
Se 0.040 0.322 0.909
Se 0.087 0.718 0.678
Se 0.087 0.868 0.409
Se 0.091 0.632 0.413
Se 0.091 0.960 0.678
Se 0.132 0.040 0.218
Se 0.132 0.591 0.913
Se 0.178 0.218 0.587
Se 0.178 0.460 0.591
Se 0.218 0.132 0.040
Se 0.218 0.587 0.178
Se 0.282 0.322 0.913
Se 0.282 0.460 0.368
Se 0.322 0.909 0.040
Se 0.322 0.913 0.282
Se 0.368 0.282 0.460
Se 0.368 0.587 0.909
Se 0.409 0.087 0.868
Se 0.409 0.822 0.540
Se 0.413 0.091 0.632
Se 0.413 0.822 0.782
Se 0.460 0.368 0.282
Se 0.460 0.591 0.178
Se 0.540 0.409 0.822
Se 0.540 0.632 0.718
Se 0.587 0.178 0.218
Se 0.587 0.909 0.368
Se 0.591 0.178 0.460
Se 0.591 0.913 0.132
Se 0.632 0.413 0.091
Se 0.632 0.718 0.540
Se 0.678 0.087 0.718
Se 0.678 0.091 0.960
Se 0.718 0.540 0.632
Se 0.718 0.678 0.087
Se 0.782 0.413 0.822
Se 0.782 0.868 0.960
Se 0.822 0.540 0.409
Se 0.822 0.782 0.413
Se 0.868 0.409 0.087
Se 0.868 0.960 0.782
Se 0.909 0.040 0.322
Se 0.909 0.368 0.587
Se 0.913 0.132 0.591
Se 0.913 0.282 0.322
Se 0.960 0.678 0.091
Se 0.960 0.782 0.868

---

no.,spin magnetization (μB/atom)
1,0.00
2,0.00
3,0.00
4,0.00
5,0.00
6,0.10
7,0.00
8,0.00
9,0.00
10,0.00
11,0.00
12,0.00
13,0.00
14,0.00
15,0.00
16,0.00
17,0.00
18,0.00